# SnPPt5 GGA-PBE relaxed
data_SnPPt5
_cell_length_a 3.994
_cell_length_b 3.994
_cell_length_c 7.160
_cell_angle_alpha 90.00
_cell_angle_beta 90.00
_cell_angle_gamma 90.00
_space_group_name_H-M_alt 'P 1'
_space_group_IT_number 1
loop_
_space_group_symop_operation_xyz
'x,y,z'
loop_
_atom_site_label
_atom_site_type_symbol
_atom_site_fract_x
_atom_site_fract_y
_atom_site_fract_z
Sn1 Sn 0.000 0.000 0.000
P1 P 0.500 0.500 0.500
Pt1 Pt 0.000 0.500 0.300
Pt2 Pt 0.000 0.500 0.700
Pt3 Pt 0.500 0.000 0.300
Pt4 Pt 0.500 0.000 0.700
Pt5 Pt 0.500 0.500 0.000
# - M_tot (μB/atom) = 0.00
# - space group = P4/mmm, No. 123
# - density (g/cm³) = 16.36
# - uncorrected energy (eV/atom) = -6.06